The following is a PBE calculation of a relaxed TlFeCu2 crystal, from the Alexandria database.

```
TlFeCu2
1.0
4.553 0.013 -0.057
3.654 2.717 -0.057
0.725 0.241 5.020
Cu Fe Tl
2 1 1
Direct
0.009 0.009 0.952
0.491 0.491 0.548
0.750 0.750 0.750
0.250 0.250 0.250
```

Results
ΔE_f = 157 kJ/mol of formula units
E_tot = -4.349 eV/atom
relative energy among the computed polymorphs = 37.6 meV per atom

***

The following is a PBE calculation of a relaxed BiPNO2 crystal, from the Alexandria database.

```
BiPNO2
1.0
-3.296 2.199 -0.615
0.441 -0.447 -3.960
-2.120 -3.143 0.119
P Bi O N
1 1 2 1
Direct
0.000 0.000 0.500
0.500 0.500 0.500
0.000 0.500 0.000
0.500 0.000 0.000
0.000 0.000 0.000
```

Results
E_form (uncorrected) = 3.48 eV/f.u.
E_tot = -4.810 eV/atom

***

E_tot of number 1 (TlFeCu2)?
-4.349 eV/atom